# 1
Tm4Zr3O12: PBEsol geometry, SCAN.

The structure in POSCAR format:
```
Tm4Zr3O12
1.0
6.272 -0.006 0.004
-1.030 6.243 -0.009
-2.043 -2.387 12.175
O Zr Tm
24 6 8
Direct
0.816 0.409 0.530
0.184 0.591 0.470
0.963 0.102 0.912
0.925 0.690 0.790
0.322 0.941 0.784
0.415 0.180 0.038
0.572 0.419 0.342
0.682 0.041 0.706
0.826 0.423 0.034
0.927 0.076 0.408
0.073 0.924 0.592
0.927 0.680 0.279
0.678 0.059 0.216
0.075 0.310 0.210
0.174 0.577 0.966
0.318 0.959 0.294
0.434 0.171 0.538
0.411 0.568 0.159
0.585 0.820 0.962
0.073 0.320 0.721
0.566 0.829 0.462
0.037 0.898 0.088
0.589 0.432 0.841
0.428 0.581 0.658
0.993 0.994 0.248
0.007 0.006 0.752
0.610 0.143 0.405
0.146 0.323 0.054
0.390 0.857 0.595
0.854 0.677 0.946
0.299 0.612 0.319
0.612 0.135 0.903
0.311 0.610 0.818
0.701 0.388 0.681
0.142 0.308 0.554
0.689 0.390 0.182
0.388 0.865 0.097
0.858 0.692 0.446
```

Theoretical density (g/cm³): 7.95
ΔE_f (raw) (kJ/mol of formula units): -7223
E_tot (Ry per atom): -1.737

=====

# 2
K3NpO2F5: PBEsol geometry, SCAN.

The structure in POSCAR format:
```
K3NpO2F5
1.0
9.085 0.000 0.000
0.000 9.085 0.000
-4.542 -4.542 8.979
F K Np O
20 12 4 8
Direct
0.251 0.928 0.960
0.968 0.749 0.040
0.476 0.100 0.241
0.774 0.650 0.259
0.350 0.515 0.741
0.105 0.605 0.210
0.709 0.032 0.960
0.999 0.822 0.540
0.282 0.001 0.460
0.541 0.718 0.540
0.485 0.609 0.259
0.900 0.235 0.759
0.072 0.291 0.040
0.395 0.895 0.790
0.391 0.226 0.741
0.145 0.145 0.290
0.855 0.855 0.710
0.859 0.524 0.759
0.765 0.141 0.241
0.178 0.459 0.460
0.622 0.676 0.777
0.750 0.250 0.500
0.628 0.074 0.723
0.155 0.101 0.777
0.250 0.750 0.500
0.500 0.500 0.000
0.095 0.649 0.723
0.000 0.000 0.000
0.926 0.905 0.277
0.324 0.845 0.223
0.351 0.372 0.277
0.899 0.378 0.223
0.729 0.729 0.458
0.521 0.021 0.042
0.271 0.271 0.542
0.979 0.479 0.958
0.174 0.523 0.957
0.683 0.924 0.457
0.477 0.217 0.043
0.783 0.433 0.957
0.567 0.826 0.043
0.773 0.533 0.457
0.076 0.227 0.543
0.467 0.317 0.543
```

Theoretical density (g/cm³): 4.31
ΔE_f (raw) (kJ/mol of formula units): -3317
E_tot (Ry per atom): -1.313